No. 1
This record from Alexandria via LeMat-Bulk describes a relaxed structure of PmMgAg2Au4. The functional is PBE.

Unit cell a=8.3448 b=8.3448 c=8.3448 alpha=33.68 beta=33.68 gamma=33.68
With the nearest neighbours (Å) after each atom.
Fractional coordinates of all 8 atoms:
Pm  0.0000  0.0000  0.0000  8 Au 3.04-3.08, 6 Ag 3.39
Mg  0.5000  0.5000  0.5000  8 Au 2.74-2.92
Ag  0.2520  0.2520  0.2520  8 Au 2.86-3.11
Ag  0.7480  0.7480  0.7480  8 Au 2.86-3.11
Au  0.1307  0.1307  0.1307  4 Ag 2.86-3.03, 3 Mg 2.92, 1 Pm 3.08
Au  0.3840  0.3840  0.3840  1 Mg 2.74, 3 Ag 2.88, 3 Pm 3.04
Au  0.6160  0.6160  0.6160  1 Mg 2.74, 3 Ag 2.88, 3 Pm 3.04
Au  0.8693  0.8693  0.8693  4 Ag 2.86-3.03, 3 Mg 2.92, 1 Pm 3.08

## Properties
DFT total energy = -3.58 eV per atom
formation enthalpy at 0 K = -3.508 eV/f.u.
space-group type = R-3m



No. 2
This record from Alexandria via LeMat-Bulk describes a relaxed structure of PmMgAgAu. The functional is PBE.

Unit cell a=5.0081 b=5.0081 c=5.0081 alpha=60.00 beta=60.00 gamma=60.00
With the nearest neighbours (Å) after each atom.
Fractional coordinates of all 4 atoms:
Pm  0.0000  0.0000  0.0000  4 Ag 3.07, 4 Au 3.07
Mg  0.5000  0.5000  0.5000  4 Au 3.07, 4 Ag 3.07
Ag  0.2500  0.2500  0.2500  4 Mg 3.07, 4 Pm 3.07
Au  0.7500  0.7500  0.7500  4 Mg 3.07, 4 Pm 3.07

## Properties
DFT total energy = -3.64 eV per atom
formation enthalpy at 0 K = -2.079 eV/f.u.
space-group type = F-43m



No. 3
This record from Alexandria via LeMat-Bulk describes a relaxed structure of PrMg2AgAu4. The functional is PBE.

Unit cell a=9.3954 b=9.3954 c=9.3954 alpha=28.59 beta=28.59 gamma=28.59
With the nearest neighbours (Å) after each atom.
Fractional coordinates of all 8 atoms:
Pr  0.0000  0.0000  0.0000  8 Au 3.16-3.29
Mg  0.2332  0.2332  0.2332  7 Au 2.74-3.01
Mg  0.7668  0.7668  0.7668  7 Au 2.74-3.01
Ag  0.5000  0.5000  0.5000  8 Au 2.83-2.94
Au  0.1218  0.1218  0.1218  4 Mg 2.74-3.01, 3 Ag 2.94
Au  0.3951  0.3951  0.3951  1 Ag 2.83, 3 Mg 2.87, 3 Au 3.13, 3 Pr 3.16
Au  0.6049  0.6049  0.6049  1 Ag 2.83, 3 Mg 2.87, 3 Au 3.13, 3 Pr 3.16
Au  0.8782  0.8782  0.8782  4 Mg 2.74-3.01, 3 Ag 2.94

## Properties
DFT total energy = -3.52 eV per atom
formation enthalpy at 0 K = -4.191 eV/f.u.
space-group type = R-3m



No. 4
This record from Alexandria via LeMat-Bulk describes a relaxed structure of MgAg2PtAu. The functional is PBE.

Unit cell a=5.0980 b=5.0980 c=4.8082 alpha=90.00 beta=90.00 gamma=90.00
With the nearest neighbours (Å) after each atom.
Fractional coordinates of all 5 atoms:
Mg  0.0000  0.0000  0.0000  2 Pt 2.40
Ag  0.0000  0.5000  0.5000  2 Pt 2.55
Ag  0.5000  0.0000  0.5000  2 Pt 2.55
Pt  0.0000  0.0000  0.5000  2 Mg 2.40, 4 Ag 2.55
Au  0.5000  0.5000  0.0000  8 Ag 3.50, 4 Mg 3.60

## Properties
DFT total energy = -2.86 eV per atom
formation enthalpy at 0 K = 2.330 eV/f.u.
space-group type = P4/mmm



No. 5
This record from Alexandria via LeMat-Bulk describes a relaxed structure of Mg5Ag2Rh2Au. The functional is PBE.

Unit cell a=10.2935 b=10.2935 c=3.5047 alpha=90.00 beta=90.00 gamma=90.00
With the nearest neighbours (Å) after each atom.
Fractional coordinates of all 20 atoms:
Mg  0.0000  0.5000  0.0000  4 Rh 2.56
Mg  0.0953  0.1897  0.0000  2 Rh 2.59, 2 Au 2.80
Mg  0.1897  0.9047  0.0000  2 Rh 2.59, 2 Au 2.80
Mg  0.3103  0.4047  0.0000  2 Rh 2.59, 2 Au 2.80
Mg  0.4047  0.6897  0.0000  2 Rh 2.59, 2 Au 2.80
Mg  0.5000  0.0000  0.0000  4 Rh 2.56
Mg  0.5953  0.3103  0.0000  2 Rh 2.59, 2 Au 2.80
Mg  0.6897  0.5953  0.0000  2 Rh 2.59, 2 Au 2.80
Mg  0.8103  0.0953  0.0000  2 Rh 2.59, 2 Au 2.80
Mg  0.9047  0.8103  0.0000  2 Rh 2.59, 2 Au 2.80
Ag  0.1661  0.6661  0.5000  6 Mg 2.99-3.03, 3 Rh 3.00-3.05
Ag  0.3339  0.1661  0.5000  6 Mg 2.99-3.03, 3 Rh 3.00-3.05
Ag  0.6661  0.8339  0.5000  6 Mg 2.99-3.03, 3 Rh 3.00-3.05
Ag  0.8339  0.3339  0.5000  6 Mg 2.99-3.03, 3 Rh 3.00-3.05
Rh  0.1279  0.3721  0.5000  6 Mg 2.56-2.59
Rh  0.3721  0.8721  0.5000  6 Mg 2.56-2.59
Rh  0.6279  0.1279  0.5000  6 Mg 2.56-2.59
Rh  0.8721  0.6279  0.5000  6 Mg 2.56-2.59
Au  0.0000  0.0000  0.5000  8 Mg 2.80
Au  0.5000  0.5000  0.5000  8 Mg 2.80

## Properties
DFT total energy = -3.45 eV per atom
formation enthalpy at 0 K = -2.812 eV/f.u.
space-group type = P4/mbm



No. 6
This record from Alexandria via LeMat-Bulk describes a relaxed structure of MgAgSbAu. The functional is PBE.

Unit cell a=4.8927 b=4.8927 c=4.8927 alpha=60.00 beta=60.00 gamma=60.00
With the nearest neighbours (Å) after each atom.
Fractional coordinates of all 4 atoms:
Mg  0.0000  0.0000  0.0000  4 Au 3.00, 4 Sb 3.00
Ag  0.5000  0.5000  0.5000  4 Sb 3.00, 4 Au 3.00
Sb  0.7500  0.7500  0.7500  4 Mg 3.00, 4 Ag 3.00
Au  0.2500  0.2500  0.2500  4 Ag 3.00, 4 Mg 3.00

## Properties
DFT total energy = -3.06 eV per atom
formation energy from raw total energies = -9.72 kJ/mol of atoms
space-group type = F-43m



No. 7
This record from Alexandria via LeMat-Bulk describes a relaxed structure of Sr2Mg4AgAu3. The functional is PBE.

Unit cell a=4.7877 b=4.7877 c=10.7669 alpha=90.00 beta=90.00 gamma=90.00
With the nearest neighbours (Å) after each atom.
Fractional coordinates of all 10 atoms:
Sr  0.0000  0.5000  0.2393  2 Ag 3.52, 6 Au 3.52-3.66, 9 Mg 3.62-3.88
Sr  0.5000  0.0000  0.7607  2 Ag 3.52, 6 Au 3.52-3.66, 9 Mg 3.62-3.88
Mg  0.0000  0.0000  0.5000  4 Au 2.77
Mg  0.0000  0.5000  0.8789  3 Au 2.68-2.73, 2 Ag 2.73
Mg  0.5000  0.0000  0.1211  3 Au 2.68-2.73, 2 Ag 2.73
Mg  0.5000  0.5000  0.5000  4 Au 2.77
Ag  0.5000  0.5000  0.0000  4 Mg 2.73
Au  0.0000  0.0000  0.0000  4 Mg 2.73
Au  0.0000  0.5000  0.6303  5 Mg 2.68-2.77
Au  0.5000  0.0000  0.3697  5 Mg 2.68-2.77

## Properties
DFT total energy = -2.76 eV per atom
formation enthalpy at 0 K = -5.205 eV/f.u.
space-group type = P-4m2



No. 8
This record from Alexandria via LeMat-Bulk describes a relaxed structure of SrMgAgAu2. The functional is PBE.

Unit cell a=7.2213 b=7.2213 c=7.2213 alpha=145.86 beta=145.86 gamma=49.06
With the nearest neighbours (Å) after each atom.
Fractional coordinates of all 5 atoms:
Sr  0.0000  0.0000  0.0000  8 Au 3.31
Mg  0.2500  0.7500  0.5000  4 Au 2.84, 4 Ag 3.00
Ag  0.7500  0.2500  0.5000  4 Au 2.84, 4 Mg 3.00
Au  0.3934  0.3934  0.0000  1 Au 2.80, 2 Mg 2.84, 2 Ag 2.84
Au  0.6066  0.6066  0.0000  1 Au 2.80, 2 Mg 2.84, 2 Ag 2.84

## Properties
DFT total energy = -3.08 eV per atom
formation enthalpy at 0 K = -2.733 eV/f.u.
space-group type = I-4m2



No. 9
This record from Alexandria via LeMat-Bulk describes a relaxed structure of SrMg2AgAu4. The functional is PBE.

Unit cell a=9.7158 b=9.7158 c=9.7158 alpha=27.72 beta=27.72 gamma=27.72
With the nearest neighbours (Å) after each atom.
Fractional coordinates of all 8 atoms:
Sr  0.0000  0.0000  0.0000  8 Au 3.28-3.44
Mg  0.2302  0.2302  0.2302  7 Au 2.74-3.01
Mg  0.7698  0.7698  0.7698  7 Au 2.74-3.01
Ag  0.5000  0.5000  0.5000  8 Au 2.79-2.95
Au  0.1229  0.1229  0.1229  4 Mg 2.74-3.01, 3 Ag 2.95
Au  0.4003  0.4003  0.4003  1 Ag 2.79, 3 Mg 2.87, 3 Au 3.11
Au  0.5997  0.5997  0.5997  1 Ag 2.79, 3 Mg 2.87, 3 Au 3.11
Au  0.8771  0.8771  0.8771  4 Mg 2.74-3.01, 3 Ag 2.95

## Properties
DFT total energy = -3.10 eV per atom
formation enthalpy at 0 K = -3.939 eV/f.u.
space-group type = R-3m



No. 10
This record from Alexandria via LeMat-Bulk describes a relaxed structure of SrMg4Ag2Au. The functional is PBE.

Unit cell a=10.0961 b=10.0961 c=10.0961 alpha=27.06 beta=27.06 gamma=27.06
With the nearest neighbours (Å) after each atom.
Fractional coordinates of all 8 atoms:
Sr  0.0000  0.0000  0.0000  6 Mg 3.50, 6 Ag 3.66
Mg  0.1359  0.1359  0.1359  3 Au 2.87, 3 Ag 3.12
Mg  0.4086  0.4086  0.4086  1 Au 2.67, 3 Ag 2.74
Mg  0.5914  0.5914  0.5914  1 Au 2.67, 3 Ag 2.74
Mg  0.8641  0.8641  0.8641  3 Au 2.87, 3 Ag 3.12
Ag  0.2496  0.2496  0.2496  3 Mg 2.74
Ag  0.7504  0.7504  0.7504  3 Mg 2.74
Au  0.5000  0.5000  0.5000  8 Mg 2.67-2.87

## Properties
DFT total energy = -2.40 eV per atom
formation enthalpy at 0 K = -2.168 eV/f.u.
space-group type = R-3m



Number 1: total moment 0.00 Bohr magnetons per cell. Number 2: total moment 0.00 Bohr magnetons per cell. Number 3: total moment 0.00 Bohr magnetons per cell. Number 4: total moment 0.00 Bohr magnetons per cell. Number 5: total moment 0.00 Bohr magnetons per cell. Number 6: total moment 0.00 Bohr magnetons per cell. Number 7: total moment 0.00 Bohr magnetons per cell. Number 8: total moment 0.00 Bohr magnetons per cell. Number 9: total moment 0.00 Bohr magnetons per cell. Number 10: total moment 0.00 Bohr magnetons per cell.